Entry 1:
Below is MgNiAg2 after structural relaxation, with properties calculated at the PBE level.

Geometry as POSCAR:
```
MgNiAg2
1.0
-0.9989 -0.8115 4.7673
1.5748 -2.2076 4.1267
2.4047 3.3798 2.2964
Mg Ni Ag
1 1 2
Cartesian
1.4710 0.1105 5.6699
0.7414 0.0909 2.7808
2.2267 0.2548 8.3915
0.6078 -2.9343 8.8374
```

- Space group: No. 8
- Calculated formation energy: 0.01 eV per atom


Entry 2:
Below is KCaAg2Cl6 after structural relaxation, with properties calculated at the PBE level.

Geometry as POSCAR:
```
KCaAg2Cl6
1.0
-2.8900 1.1277 -6.3141
-4.7186 -4.5405 -2.5711
-7.1621 2.1299 -0.2766
Ag Cl Ca K
2 6 1 1
Cartesian
-7.0997 2.0867 -0.3136
-7.1964 -0.7717 -4.6908
-7.4381 0.2531 -2.1992
-9.8010 -1.3957 -4.2402
-8.3088 1.6121 -5.3384
-4.6291 0.0226 -4.6392
-7.1483 -1.3255 -7.3117
-6.5991 -3.2930 -3.9805
-2.7461 -0.9884 -2.8400
-10.4212 -1.4274 -7.2530
```

- Space group: No. 1
- Uncorrected energy: -32.927 eV/cell